(1)
VASP calculation (GGA-PBE) on a relaxed Pm4Y3Bi8 crystal.

Geometry as POSCAR:
```
Pm4Y3Bi8
1.0
6.377 -6.388 0.000
6.377 6.388 0.000
-6.319 0.000 6.389
Pm Y Bi
4 3 8
Direct
0.000 0.000 0.000
0.000 0.500 0.000
0.500 0.000 0.000
0.500 0.500 0.500
0.000 0.500 0.500
0.500 0.000 0.500
0.500 0.500 0.000
0.244 0.756 0.500
0.246 0.246 0.505
0.247 0.247 0.988
0.252 0.748 0.000
0.748 0.252 0.000
0.753 0.753 0.012
0.754 0.754 0.495
0.756 0.244 0.500
```



(2)
VASP calculation (GGA-PBE) on a relaxed PmY3Bi4 crystal.

Values from the calculation:
- relative energy among the computed polymorphs (eV/atom) = 0.003

Geometry as POSCAR:
```
PmY3Bi4
1.0
4.506 -6.374 0.000
4.506 6.374 0.000
0.000 0.000 4.511
Pm Y Bi
1 3 4
Direct
0.000 0.000 0.000
0.000 0.500 0.500
0.500 0.000 0.500
0.500 0.500 0.000
0.252 0.748 0.000
0.254 0.254 0.500
0.746 0.746 0.500
0.748 0.252 0.000
```



(3)
VASP calculation (GGA-PBE) on a relaxed Pm2YBi crystal.

Values from the calculation:
- relative energy among the computed polymorphs (eV/atom) = 0.434

Geometry as POSCAR:
```
Pm2YBi
1.0
1.792 1.035 12.340
-1.792 1.035 12.340
0.000 -2.069 12.340
Pm Y Bi
2 1 1
Direct
0.087 0.087 0.087
0.913 0.913 0.913
0.500 0.500 0.500
0.000 0.000 0.000
```



(4)
VASP calculation (GGA-PBE) on a relaxed Pm2Y5Bi4 crystal.

Geometry as POSCAR:
```
Pm2Y5Bi4
1.0
12.560 -1.744 0.000
12.560 1.744 0.000
-0.492 0.000 8.224
Pm Y Bi
2 5 4
Direct
0.053 0.053 0.153
0.947 0.947 0.847
0.150 0.150 0.465
0.180 0.180 0.999
0.500 0.500 0.500
0.820 0.820 0.001
0.850 0.850 0.535
0.073 0.073 0.767
0.267 0.267 0.287
0.733 0.733 0.713
0.927 0.927 0.233
```



(5)
VASP calculation (GGA-PBE) on a relaxed PmY6Bi3 crystal.

Geometry as POSCAR:
```
PmY6Bi3
1.0
5.814 -6.630 0.000
5.814 6.630 0.000
0.000 0.000 8.346
Pm Y Bi
2 12 6
Direct
0.182 0.818 0.500
0.818 0.182 0.000
0.069 0.448 0.675
0.091 0.229 0.325
0.229 0.091 0.825
0.272 0.728 0.911
0.445 0.555 0.324
0.448 0.069 0.175
0.552 0.931 0.675
0.555 0.445 0.824
0.728 0.272 0.411
0.771 0.909 0.325
0.909 0.771 0.825
0.931 0.552 0.175
0.082 0.918 0.135
0.232 0.388 0.023
0.388 0.232 0.523
0.612 0.768 0.023
0.768 0.612 0.523
0.918 0.082 0.635
```



(6)
VASP calculation (GGA-PBE) on a relaxed Pm4Y3Bi4 crystal.

Geometry as POSCAR:
```
Pm4Y3Bi4
1.0
-2.040 4.669 9.195
2.040 -4.669 9.195
2.040 4.669 -9.195
Pm Y Bi
4 3 4
Direct
0.010 0.834 0.177
0.343 0.166 0.177
0.657 0.834 0.823
0.990 0.166 0.823
0.000 0.500 0.500
0.403 0.403 0.000
0.597 0.597 0.000
0.271 0.771 0.500
0.290 0.000 0.290
0.710 0.000 0.710
0.729 0.229 0.500
```



(7)
VASP calculation (GGA-PBE) on a relaxed PmYBi crystal.

Values from the calculation:
- relative energy among the computed polymorphs (eV/atom) = 0.787

Geometry as POSCAR:
```
PmYBi
1.0
-1.703 1.703 9.112
1.703 -1.703 9.112
1.703 1.703 -9.112
Pm Y Bi
1 1 1
Direct
0.000 0.000 0.000
0.196 0.196 0.000
0.369 0.369 0.000
```



(8)
VASP calculation (GGA-PBE) on a relaxed Pm5Y2Bi5 crystal.

Geometry as POSCAR:
```
Pm5Y2Bi5
1.0
7.451 -2.260 0.000
7.451 2.260 0.000
-4.769 0.000 12.118
Pm Y Bi
5 2 5
Direct
0.000 0.000 0.000
0.162 0.162 0.534
0.220 0.220 0.841
0.780 0.780 0.159
0.838 0.838 0.466
0.451 0.451 0.710
0.549 0.549 0.290
0.192 0.192 0.285
0.383 0.383 0.071
0.500 0.500 0.500
0.617 0.617 0.929
0.808 0.808 0.715
```



The calculation returns the following M_tot values, one per record and in order: 0.00 0.00 0.00 0.86 0.00 2.46 0.71 0.00 μB per formula unit.
The calculation returns the following final energy values, one per record and in order: -80.31 -46.92 -19.82 -60.50 -119.73 -60.34 -14.72 -64.23 eV/cell.
The calculation returns the following formation energy from the elements values, one per record and in order: -69.9 -87.4 0.6 -27.7 -45.2 -56.3 12.0 -65.5 kJ per mole of atoms.